(1)
Ta2AgW: relaxed, PBE-GGA.

Summary:
crystal system = tetragonal
space-group type = I-42d
ΔE_f = 920 meV/atom
volume = 18.93 Å³/atom
calculated total energy = -0.3292 Ha/atom

Unit cell a=7.358 b=7.358 c=5.594 alpha=90.00 beta=90.00 gamma=90.00
Sites, in units of the cell vectors:
1 Ta 0.242 0.250 0.125
2 Ta 0.250 0.742 0.375
3 Ta 0.250 0.758 0.875
4 Ta 0.258 0.250 0.625
5 Ta 0.742 0.750 0.625
6 Ta 0.750 0.242 0.875
7 Ta 0.750 0.258 0.375
8 Ta 0.758 0.750 0.125
9 Ag 0.000 0.000 0.500
10 Ag 0.000 0.500 0.750
11 Ag 0.500 0.000 0.250
12 Ag 0.500 0.500 0.000
13 W 0.000 0.000 0.000
14 W 0.000 0.500 0.250
15 W 0.500 0.000 0.750
16 W 0.500 0.500 0.500

---

(2)
BeCdP4: relaxed, PBE-GGA.

Summary:
crystal system = cubic
space-group type = F-43m
ΔE_f = 777 meV/atom
volume = 16.04 Å³/atom
calculated total energy = -0.1324 Ha/atom

Unit cell a=5.144 b=5.144 c=5.144 alpha=60.00 beta=60.00 gamma=60.00
Sites, in units of the cell vectors:
1 Be 0.000 0.000 0.000
2 Cd 0.750 0.750 0.750
3 P 0.371 0.371 0.371
4 P 0.371 0.371 0.886
5 P 0.371 0.886 0.371
6 P 0.886 0.371 0.371

---

(3)
CaLa2Dy: relaxed, PBE-GGA.

Summary:
crystal system = cubic
space-group type = Fm-3m
ΔE_f = 100 meV/atom
volume = 36.73 Å³/atom
calculated total energy = -0.1475 Ha/atom

Unit cell a=8.376 b=8.376 c=8.376 alpha=90.00 beta=90.00 gamma=90.00
Sites, in units of the cell vectors:
1 Ca 0.000 0.000 0.000
2 Ca 0.000 0.500 0.500
3 Ca 0.500 0.000 0.500
4 Ca 0.500 0.500 0.000
5 La 0.250 0.250 0.250
6 La 0.250 0.250 0.750
7 La 0.250 0.750 0.250
8 La 0.250 0.750 0.750
9 La 0.750 0.250 0.250
10 La 0.750 0.250 0.750
11 La 0.750 0.750 0.250
12 La 0.750 0.750 0.750
13 Dy 0.000 0.000 0.500
14 Dy 0.000 0.500 0.000
15 Dy 0.500 0.000 0.000
16 Dy 0.500 0.500 0.500

---

(4)
Ce8Ge2Ir3: relaxed, PBE-GGA.

Summary:
crystal system = monoclinic
space-group type = C2/m
ΔE_f = -423 meV/atom
volume = 28.55 Å³/atom
calculated total energy = -0.2510 Ha/atom

Unit cell a=8.830 b=8.830 c=6.782 alpha=109.39 beta=109.39 gamma=48.92
Sites, in units of the cell vectors:
1 Ce 0.095 0.095 0.427
2 Ce 0.159 0.630 0.085
3 Ce 0.326 0.326 0.476
4 Ce 0.370 0.841 0.915
5 Ce 0.630 0.159 0.085
6 Ce 0.674 0.674 0.524
7 Ce 0.841 0.370 0.915
8 Ce 0.905 0.905 0.573
9 Ge 0.241 0.241 0.842
10 Ge 0.759 0.759 0.158
11 Ir 0.000 0.000 0.000
12 Ir 0.308 0.692 0.500
13 Ir 0.692 0.308 0.500

---

(5)
KInH3: relaxed, PBE-GGA.

Summary:
crystal system = cubic
space-group type = Pm-3m
volume = 15.10 Å³/atom
calculated total energy = -0.1012 Ha/atom

Unit cell a=4.226 b=4.226 c=4.226 alpha=90.00 beta=90.00 gamma=90.00
Sites, in units of the cell vectors:
1 K 0.000 0.000 0.000
2 In 0.500 0.500 0.500
3 H 0.000 0.500 0.500
4 H 0.500 0.000 0.500
5 H 0.500 0.500 0.000

---

(6)
PuCdSnPb: relaxed, PBE-GGA.

Summary:
crystal system = orthorhombic
space-group type = Pmmm
ΔE_f = -218 meV/atom
volume = 26.05 Å³/atom
calculated total energy = -0.2189 Ha/atom

Unit cell a=4.514 b=4.769 c=4.841 alpha=90.00 beta=90.00 gamma=90.00
Sites, in units of the cell vectors:
1 Pu 0.000 0.000 0.000
2 Cd 0.000 0.500 0.500
3 Sn 0.500 0.500 0.000
4 Pb 0.500 0.000 0.500

---

(7)
Sc2GaSn: relaxed, PBE-GGA.

Summary:
crystal system = tetragonal
space-group type = P4/mmm
ΔE_f = -554 meV/atom
volume = 20.87 Å³/atom
calculated total energy = -0.2013 Ha/atom

Unit cell a=4.441 b=4.441 c=4.233 alpha=90.00 beta=90.00 gamma=90.00
Sites, in units of the cell vectors:
1 Sc 0.000 0.500 0.000
2 Sc 0.500 0.000 0.000
3 Ga 0.000 0.000 0.500
4 Sn 0.500 0.500 0.500

---

(8)
Ac2CdAgPt: relaxed, PBE-GGA.

Summary:
crystal system = monoclinic
space-group type = P2_1/m
ΔE_f = -564 meV/atom
volume = 31.38 Å³/atom
calculated total energy = -0.1532 Ha/atom

Unit cell a=7.929 b=4.481 c=8.905 alpha=90.00 beta=97.31 gamma=90.00
Sites, in units of the cell vectors:
1 Ac 0.153 0.250 0.373
2 Ac 0.211 0.250 0.929
3 Ac 0.789 0.750 0.071
4 Ac 0.847 0.750 0.627
5 Cd 0.491 0.750 0.348
6 Cd 0.509 0.250 0.652
7 Ag 0.280 0.750 0.648
8 Ag 0.720 0.250 0.352
9 Pt 0.181 0.750 0.153
10 Pt 0.819 0.250 0.847

---

(9)
YSiGePd2: relaxed, PBE-GGA.

Summary:
crystal system = tetragonal
formation energy (no corrections) = 0.961 eV per atom
space-group type = P4/mmm
volume = 27.30 Å³/atom
calculated total energy = -0.1623 Ha/atom

Unit cell a=5.009 b=5.009 c=5.439 alpha=90.00 beta=90.00 gamma=90.00
Sites, in units of the cell vectors:
1 Y 0.000 0.000 0.000
2 Si 0.500 0.500 0.500
3 Ge 0.000 0.000 0.500
4 Pd 0.000 0.500 0.000
5 Pd 0.500 0.000 0.000

---

(10)
KGa9Pd3: relaxed, PBE-GGA.

Summary:
crystal system = monoclinic
space-group type = C2/m
ΔE_f = -287 meV/atom
volume = 17.91 Å³/atom
calculated total energy = -0.1347 Ha/atom

Unit cell a=7.074 b=7.074 c=6.965 alpha=97.89 beta=97.89 gamma=134.42
Sites, in units of the cell vectors:
1 K 0.000 0.000 0.000
2 Ga 0.000 0.000 0.500
3 Ga 0.010 0.650 0.654
4 Ga 0.293 0.514 0.786
5 Ga 0.350 0.990 0.346
6 Ga 0.486 0.707 0.214
7 Ga 0.514 0.293 0.786
8 Ga 0.650 0.010 0.654
9 Ga 0.707 0.486 0.214
10 Ga 0.990 0.350 0.346
11 Pd 0.000 0.500 0.000
12 Pd 0.500 0.000 0.000
13 Pd 0.500 0.500 0.500

---

(11)
NdHo2Pd: relaxed, PBE-GGA.

Summary:
crystal system = tetragonal
space-group type = P4/mmm
ΔE_f = -425 meV/atom
volume = 27.39 Å³/atom
calculated total energy = -0.1912 Ha/atom

Unit cell a=3.572 b=3.572 c=8.588 alpha=90.00 beta=90.00 gamma=90.00
Sites, in units of the cell vectors:
1 Nd 0.000 0.000 0.000
2 Ho 0.500 0.500 0.307
3 Ho 0.500 0.500 0.693
4 Pd 0.000 0.000 0.500

---

(12)
NpPaGa2: relaxed, PBE-GGA.

Summary:
crystal system = tetragonal
space-group type = P4/mmm
ΔE_f = -138 meV/atom
volume = 20.96 Å³/atom
calculated total energy = -0.2668 Ha/atom

Unit cell a=3.069 b=3.069 c=8.903 alpha=90.00 beta=90.00 gamma=90.00
Sites, in units of the cell vectors:
1 Np 0.000 0.000 0.000
2 Pa 0.000 0.000 0.500
3 Ga 0.500 0.500 0.249
4 Ga 0.500 0.500 0.751

---

(13)
CrOs2I: relaxed, PBE-GGA.

Summary:
crystal system = cubic
formation energy (no corrections) = 1.257 eV per atom
space-group type = Fm-3m
volume = 16.26 Å³/atom
calculated total energy = -0.2628 Ha/atom

Unit cell a=6.383 b=6.383 c=6.383 alpha=90.00 beta=90.00 gamma=90.00
Sites, in units of the cell vectors:
1 Cr 0.000 0.000 0.000
2 Cr 0.000 0.500 0.500
3 Cr 0.500 0.000 0.500
4 Cr 0.500 0.500 0.000
5 Os 0.250 0.250 0.250
6 Os 0.250 0.250 0.750
7 Os 0.250 0.750 0.250
8 Os 0.250 0.750 0.750
9 Os 0.750 0.250 0.250
10 Os 0.750 0.250 0.750
11 Os 0.750 0.750 0.250
12 Os 0.750 0.750 0.750
13 I 0.000 0.000 0.500
14 I 0.000 0.500 0.000
15 I 0.500 0.000 0.000
16 I 0.500 0.500 0.500

---

(14)
In2CoTc: relaxed, PBE-GGA.

Summary:
crystal system = monoclinic
space-group type = C2/m
ΔE_f = 430 meV/atom
volume = 17.00 Å³/atom
calculated total energy = -0.1950 Ha/atom

Unit cell a=8.787 b=2.940 c=5.363 alpha=90.00 beta=100.97 gamma=90.00
Sites, in units of the cell vectors:
1 In 0.245 0.000 0.241
2 In 0.255 0.500 0.759
3 In 0.745 0.500 0.241
4 In 0.755 0.000 0.759
5 Co 0.000 0.500 0.000
6 Co 0.500 0.000 0.000
7 Tc 0.000 0.000 0.500
8 Tc 0.500 0.500 0.500

---

(15)
Tb2AlTc: relaxed, PBE-GGA.

Summary:
crystal system = tetragonal
space-group type = P4/mmm
ΔE_f = -155 meV/atom
volume = 22.21 Å³/atom
calculated total energy = -0.2204 Ha/atom

Unit cell a=3.574 b=3.574 c=6.955 alpha=90.00 beta=90.00 gamma=90.00
Sites, in units of the cell vectors:
1 Tb 0.000 0.000 0.231
2 Tb 0.000 0.000 0.769
3 Al 0.500 0.500 0.500
4 Tc 0.500 0.500 0.000

---

(16)
Tl2SCl: relaxed, PBE-GGA.

Summary:
crystal system = trigonal
formation energy (no corrections) = -0.496 eV per atom
space-group type = R-3m
volume = 29.22 Å³/atom
calculated total energy = -0.1166 Ha/atom

Unit cell a=4.335 b=4.335 c=21.544 alpha=90.00 beta=90.00 gamma=120.00
Sites, in units of the cell vectors:
1 Tl 0.000 0.000 0.241
2 Tl 0.000 0.000 0.759
3 Tl 0.333 0.667 0.426
4 Tl 0.333 0.667 0.908
5 Tl 0.667 0.333 0.092
6 Tl 0.667 0.333 0.574
7 S 0.000 0.000 0.500
8 S 0.333 0.667 0.167
9 S 0.667 0.333 0.833
10 Cl 0.000 0.000 0.000
11 Cl 0.333 0.667 0.667
12 Cl 0.667 0.333 0.333

---

(17)
Li3Er2Pt4: relaxed, PBE-GGA.

Summary:
crystal system = monoclinic
space-group type = C2/m
ΔE_f = -850 meV/atom
volume = 17.21 Å³/atom
calculated total energy = -0.1906 Ha/atom

Unit cell a=4.749 b=4.749 c=8.690 alpha=100.77 beta=100.77 gamma=53.93
Sites, in units of the cell vectors:
1 Li 0.000 0.000 0.000
2 Li 0.360 0.360 0.434
3 Li 0.640 0.640 0.566
4 Er 0.317 0.317 0.775
5 Er 0.683 0.683 0.225
6 Pt 0.026 0.026 0.350
7 Pt 0.342 0.342 0.106
8 Pt 0.658 0.658 0.894
9 Pt 0.974 0.974 0.650

---

(18)
MgAsPb2I: relaxed, PBE-GGA.

Summary:
crystal system = tetragonal
formation energy (no corrections) = 0.789 eV per atom
space-group type = P4/mmm
volume = 39.28 Å³/atom
calculated total energy = -0.0828 Ha/atom

Unit cell a=5.978 b=5.978 c=5.496 alpha=90.00 beta=90.00 gamma=90.00
Sites, in units of the cell vectors:
1 Mg 0.000 0.000 0.000
2 As 0.500 0.500 0.000
3 Pb 0.000 0.500 0.500
4 Pb 0.500 0.000 0.500
5 I 0.500 0.500 0.500

---

(19)
UTiAs2: relaxed, PBE-GGA.

Summary:
crystal system = tetragonal
space-group type = I4/mmm
ΔE_f = -682 meV/atom
volume = 19.68 Å³/atom
calculated total energy = -0.2867 Ha/atom

Unit cell a=3.956 b=3.956 c=20.113 alpha=90.00 beta=90.00 gamma=90.00
Sites, in units of the cell vectors:
1 U 0.000 0.000 0.107
2 U 0.000 0.000 0.893
3 U 0.500 0.500 0.393
4 U 0.500 0.500 0.607
5 Ti 0.000 0.500 0.250
6 Ti 0.000 0.500 0.750
7 Ti 0.500 0.000 0.250
8 Ti 0.500 0.000 0.750
9 As 0.000 0.000 0.339
10 As 0.000 0.000 0.661
11 As 0.000 0.500 0.000
12 As 0.000 0.500 0.500
13 As 0.500 0.000 0.000
14 As 0.500 0.000 0.500
15 As 0.500 0.500 0.161
16 As 0.500 0.500 0.839

---

(20)
Pu2Ga3Pt: relaxed, PBE-GGA.

Summary:
crystal system = monoclinic
space-group type = Cm
ΔE_f = -573 meV/atom
volume = 20.31 Å³/atom
calculated total energy = -0.2892 Ha/atom

Unit cell a=10.236 b=4.493 c=6.908 alpha=90.00 beta=129.92 gamma=90.00
Sites, in units of the cell vectors:
1 Pu 0.000 0.000 0.000
2 Pu 0.092 0.000 0.604
3 Pu 0.500 0.500 0.000
4 Pu 0.592 0.500 0.604
5 Ga 0.212 0.500 0.405
6 Ga 0.381 0.000 0.200
7 Ga 0.387 0.000 0.598
8 Ga 0.712 0.000 0.405
9 Ga 0.881 0.500 0.200
10 Ga 0.887 0.500 0.598
11 Pt 0.212 0.500 0.007
12 Pt 0.712 0.000 0.007